Material: K2ScTl
Method: DFT, GGA-PBE
State: optimized geometry

Values from the calculation:
- ΔH_f (0 K): 0.3824 eV per atom
- Calculated total energy: -9.36 eV/cell

Unit cell a=3.5900 b=6.2085 c=6.6243 alpha=90.00 beta=90.00 gamma=90.00
Sites, in units of the cell vectors:
K (0.0000, 0.0000, 0.2420)
K (0.0000, 0.0000, 0.7580)
Sc (0.5000, 0.5000, 0.5000)
Tl (0.5000, 0.5000, 0.0000)